An optimized crystal structure of NbAgPdSe2. Source: Alexandria, functional PBE-GGA.

Lattice parameters (Å, degrees): 4.917 5.330 4.917 90.00 90.00 90.00
Atoms (fractional coordinates):
Nb: 0.000 0.000 0.000
Se: 0.000 0.000 0.500
Se: 0.500 0.000 0.000
Pd: 0.500 0.500 0.500
Ag: 0.000 0.500 0.000

The value obtained for the magnetic moment is 0.000 Bohr magnetons per cell. The value obtained for the energy is -4.5604 eV/atom. As for the symmetry: P4/mmm. The formation energy from raw total energies comes out at 0.46 eV per atom.